A relaxed structure of CrNiNO2, computed with GGA+U.

Unit cell a=3.784 b=3.784 c=3.784 alpha=90.00 beta=90.00 gamma=90.00
Last column: magnetic moment on the atom in μB.
Positions (direct):
Cr  0.000  0.000  0.000  -2.12
Ni  0.500  0.500  0.500  -0.70
O  0.000  0.500  0.000  0.32
O  0.500  0.000  0.000  0.32
N  0.000  0.000  0.500  0.87

Computed properties:
- magnetization (Bohr magnetons per cell) = 1.0
- electronic total energy (eV/atom) = -5.53